! PdPtPb2 | Alexandria via LeMat-Bulk | PBE | relaxed; values from VASP
&SYSTEM
  ibrav = 0, nat = 8, ntyp = 3
/
ATOMIC_SPECIES
Pd 106.42 Pd.upf
Pt 195.08 Pt.upf
Pb 207.20 Pb.upf
CELL_PARAMETERS angstrom
-2.311 2.311 8.927
2.311 -2.311 8.927
2.311 2.311 -8.927
ATOMIC_POSITIONS crystal
Pd 0.000 0.000 0.000
Pd 0.750 0.250 0.500
Pt 0.250 0.750 0.500
Pt 0.500 0.500 0.000
Pb 0.124 0.625 0.999
Pb 0.375 0.374 0.499
Pb 0.626 0.125 0.001
Pb 0.875 0.876 0.501
! ΔH_f (0 K): 30 kJ/mol of formula units
! Energy above the lowest structure with this stoichiometry: 226 meV per atom
! Total magnetization: 0.000 μB/atom
! Final energy: -4.59 eV/atom